Below is a relaxed structure of ReBSe2, with properties calculated at the GGA-PBEsol level.

Values from the calculation:
Electronic total energy = -6.404 eV/atom

Cell: 5.301 5.301 9.498 Å, 90.00 90.00 90.00°
Space group I-42d (No. 122)
Symmetry-distinct sites (fractional):
Re  0.000  0.000  0.000 [4 per cell]
B  0.000  0.000  0.500 [4 per cell]
Se  0.198  0.750  0.625 [8 per cell]